No. 1
Cu2IrW | PBE | optimized geometry

Lattice parameters (Å, degrees): 3.8191 2.7450 5.9855 62.73 90.00 90.00
Element x y z (fractional)
Cu 0.0000 0.9819 0.0181
Cu 0.5000 0.2689 0.2315
W 0.5000 0.7615 0.7382
Ir 0.0000 0.4877 0.5122

Computed properties:
Polymorph energy (0 for the lowest one) = 0.010 eV/atom
ΔH_f (0 K) = 0.071 eV/atom
Crystal system = orthorhombic
Raw total energy = -7.431 eV/atom
SG = Pmm2, No. 25

No. 2
Cu2IrW | PBE | optimized geometry

Lattice parameters (Å, degrees): 2.6416 2.6416 8.9061 90.00 90.00 114.55
Element x y z (fractional)
Cu 0.0000 0.0000 0.0023
Cu 0.0000 0.0000 0.4977
Ir 0.5000 0.5000 0.2500
W 0.5000 0.5000 0.7500

Computed properties:
Polymorph energy (0 for the lowest one) = 0.254 eV/atom
ΔH_f (0 K) = 0.314 eV/atom
Crystal system = orthorhombic
Raw total energy = -7.187 eV/atom
SG = Cmmm, No. 65

No. 3
CuIr4W | PBE | optimized geometry

Lattice parameters (Å, degrees): 5.1068 5.1068 5.1068 60.00 60.00 60.00
Element x y z (fractional)
Cu 0.0000 0.0000 0.0000
Ir 0.3746 0.8763 0.3746
Ir 0.3746 0.3746 0.3746
Ir 0.8763 0.3746 0.3746
Ir 0.3746 0.3746 0.8763
W 0.7500 0.7500 0.7500

Computed properties:
ΔH_f (0 K) = 0.394 eV/atom
Crystal system = cubic
Raw total energy = -8.354 eV/atom
SG = F-43m, No. 216

No. 4
Cu2IrW | PBE | optimized geometry

Lattice parameters (Å, degrees): 4.5460 2.7176 4.6005 88.21 90.00 90.00
Element x y z (fractional)
Cu 0.0000 0.4585 0.5041
Cu 0.0000 0.0415 0.9959
Ir 0.5000 0.2500 0.2500
W 0.5000 0.7500 0.7500

Computed properties:
Polymorph energy (0 for the lowest one) = 0.170 eV/atom
ΔH_f (0 K) = 0.231 eV/atom
Crystal system = monoclinic
Raw total energy = -7.271 eV/atom
SG = P2/m, No. 10

No. 5
Cu2IrW | PBE | optimized geometry

Lattice parameters (Å, degrees): 6.8585 6.8585 5.4738 51.21 51.21 90.00
Element x y z (fractional)
W 0.2500 0.7500 0.5000
W 0.5000 0.5000 0.0000
Ir 0.0000 0.0000 0.0000
Ir 0.7500 0.2500 0.5000
Cu 0.6275 0.1250 0.2500
Cu 0.1225 0.6250 0.2500
Cu 0.3750 0.3725 0.7500
Cu 0.8750 0.8775 0.7500

Computed properties:
Polymorph energy (0 for the lowest one) = 0.747 eV/atom
ΔH_f (0 K) = 0.808 eV/atom
Crystal system = tetragonal
Raw total energy = -6.694 eV/atom
SG = I-42d, No. 122

No. 6
CuIrW4 | PBE | optimized geometry

Lattice parameters (Å, degrees): 5.1984 5.1984 5.1984 60.00 60.00 60.00
Element x y z (fractional)
W 0.3765 0.8704 0.3765
W 0.8704 0.3765 0.3765
W 0.3765 0.3765 0.8704
W 0.3765 0.3765 0.3765
Ir 0.0000 0.0000 0.0000
Cu 0.7500 0.7500 0.7500

Computed properties:
ΔH_f (0 K) = 0.605 eV/atom
Crystal system = cubic
Raw total energy = -10.190 eV/atom
SG = F-43m, No. 216

No. 7
Cu2Ir2W | PBE | optimized geometry

Lattice parameters (Å, degrees): 7.4566 7.4566 7.4566 154.92 154.92 35.76
Element x y z (fractional)
Cu 0.7500 0.2500 0.5000
Cu 0.2500 0.7500 0.5000
Ir 0.4011 0.4011 0.0000
Ir 0.5989 0.5989 0.0000
W 0.0000 0.0000 0.0000

Computed properties:
ΔH_f (0 K) = 0.312 eV/atom
Crystal system = tetragonal
Raw total energy = -7.461 eV/atom
SG = I4/mmm, No. 139

No. 8
Cu2IrW | PBE | optimized geometry

Lattice parameters (Å, degrees): 4.0567 3.7021 3.7021 90.00 90.00 90.00
Element x y z (fractional)
Cu 0.0000 0.5000 0.5000
Cu 0.0000 0.0000 0.0000
W 0.5000 0.0000 0.5000
Ir 0.5000 0.5000 0.0000

Computed properties:
Polymorph energy (0 for the lowest one) = 0.219 eV/atom
ΔH_f (0 K) = 0.280 eV/atom
Crystal system = tetragonal
Raw total energy = -7.222 eV/atom
SG = P4/mmm, No. 123

No. 9
Cu2IrW | PBE | optimized geometry

Lattice parameters (Å, degrees): 4.2350 4.2350 4.2350 60.00 60.00 60.00
Element x y z (fractional)
Cu 0.7500 0.7500 0.7500
Cu 0.2500 0.2500 0.2500
W 0.0000 0.0000 0.0000
Ir 0.5000 0.5000 0.5000

Computed properties:
Polymorph energy (0 for the lowest one) = 0.221 eV/atom
ΔH_f (0 K) = 0.281 eV/atom
Crystal system = cubic
Raw total energy = -7.220 eV/atom
SG = Fm-3m, No. 225

No. 10
Cu2IrW | PBE | optimized geometry

Lattice parameters (Å, degrees): 4.7327 4.7327 4.7327 133.33 133.33 68.14
Element x y z (fractional)
Cu 0.5000 0.5000 0.0000
Cu 0.0000 0.0000 0.0000
Ir 0.2500 0.7500 0.5000
W 0.7500 0.2500 0.5000

Computed properties:
Polymorph energy (0 for the lowest one) = 0.165 eV/atom
ΔH_f (0 K) = 0.225 eV/atom
Crystal system = tetragonal
Raw total energy = -7.277 eV/atom
SG = I4/mmm, No. 139

No. 11
Cu2IrW | PBE | optimized geometry

Lattice parameters (Å, degrees): 2.7468 4.5436 4.5547 90.00 90.00 90.00
Element x y z (fractional)
Ir 0.5000 0.0000 0.5000
W 0.0000 0.5000 0.5000
Cu 0.0000 0.0000 0.0000
Cu 0.5000 0.5000 0.0000

Computed properties:
Polymorph energy (0 for the lowest one) = 0.198 eV/atom
ΔH_f (0 K) = 0.259 eV/atom
Crystal system = orthorhombic
Raw total energy = -7.243 eV/atom
SG = Pmmm, No. 47

No. 12
Cu2IrW | PBE | optimized geometry

Lattice parameters (Å, degrees): 8.7378 8.7378 8.7378 18.13 18.13 18.13
Element x y z (fractional)
Cu 0.9963 0.9963 0.9963
Cu 0.2528 0.2528 0.2528
W 0.7503 0.7503 0.7503
Ir 0.5006 0.5006 0.5006

Computed properties:
Polymorph energy (0 for the lowest one) = 0.032 eV/atom
ΔH_f (0 K) = 0.093 eV/atom
Crystal system = trigonal
Raw total energy = -7.409 eV/atom
SG = R3m, No. 160

Q: Look up the ΔH_f (0 K) of the ninth one.
A: 0.281 eV/atom